The following is a DFT calculation (PBE) of a relaxed structure of Mn2BePt.

Values from the calculation:
The magnetization is 0.351 μB/atom. The symmetry is I4/mmm (139). The formation energy from the elements comes out at -140 meV/atom.

a b c (Å): 3.383 3.383 7.993
angles (deg): 90.00 90.00 90.00
Atoms (fractional coordinates):
Mn1 0.000 0.500 0.250
Mn2 0.000 0.500 0.750
Mn3 0.500 0.000 0.250
Mn4 0.500 0.000 0.750
Be1 0.000 0.000 0.000
Be2 0.500 0.500 0.500
Pt1 0.000 0.000 0.500
Pt2 0.500 0.500 0.000